{"formula": "Dy4Ag2H", "functional": "PBE-GGA", "state": "relaxed", "lattice": [[4.696, 0.000, 0.000], [0.000, 4.696, 0.000], [-2.348, -2.348, 7.545]], "species": ["H", "Ag", "Ag", "Dy", "Dy", "Dy", "Dy"], "fractional_positions": [[0.000, 0.000, 0.000], [0.630, 0.630, 0.260], [0.370, 0.370, 0.740], [0.819, 0.819, 0.638], [0.181, 0.181, 0.362], [0.000, 0.500, 0.000], [0.500, 0.000, 0.000]], "vol_a3_per_fu": 166.4, "m_tot_mub_per_fu": 0.093, "energy_ev_per_atom": -4.09}